Below is a relaxed structure of CoTe4Pd2, with properties calculated at the PBE-GGA level.

Values from the calculation:
Its total magnetization is 0.0000 μB/atom. The calculation puts the energy relative to the elements, uncorrected at 0.175 eV/atom. Its energy relative to the lowest polymorph listed for this composition is 432 meV/atom. The total energy is -0.3027 Ry per atom.

Structure (CIF):
```
data_CoTe4Pd2
_space_group_name_H-M_alt 'P 1'
_space_group_IT_number 1
_cell_length_a 5.170
_cell_length_b 5.170
_cell_length_c 7.370
_cell_angle_alpha 69.47
_cell_angle_beta 69.47
_cell_angle_gamma 90.00
loop_
_space_group_symop_operation_xyz
'x,y,z'
loop_
_atom_site_label
_atom_site_type_symbol
_atom_site_fract_x
_atom_site_fract_y
_atom_site_fract_z
_atom_site_occupancy
Te1 Te 0.194 0.194 0.611 1
Te2 Te 0.500 0.000 0.000 1
Te3 Te 0.806 0.806 0.389 1
Te4 Te 0.000 0.500 0.000 1
Pd1 Pd 0.605 0.605 0.790 1
Pd2 Pd 0.395 0.395 0.210 1
Co1 Co 0.000 0.000 0.000 1
```